[1]
DFT (PBE) results for SrAg2TeSe after structural relaxation.

## Properties
E_form (uncorrected)	-761.9	meV/atom
electronic total energy	-35.6	eV/cell
symmetry	I4cm, No. 108

a = 8.515 Å, b = 8.515 Å, c = 8.515 Å
α = 135.58°, β = 135.58°, γ = 64.63°
Element x y z (fractional)
Sr: 0.000 0.000 0.000
Sr: 0.500 0.500 0.000
Ag: 0.015 0.515 0.178
Ag: 0.336 0.836 0.822
Ag: 0.515 0.336 0.500
Ag: 0.836 0.015 0.500
Te: 0.270 0.270 0.000
Te: 0.770 0.770 0.000
Se: 0.016 0.516 0.500
Se: 0.516 0.016 0.500


[2]
DFT (PBE) results for Ta2PbCl after structural relaxation.

## Properties
E_form (uncorrected)	686.9	meV/atom
ΔE to the lowest computed polymorph	767	meV/atom
electronic total energy	-26.5	eV/cell
symmetry	C2/m, No. 12

a = 6.064 Å, b = 6.064 Å, c = 3.283 Å
α = 105.46°, β = 105.46°, γ = 122.60°
Element x y z (fractional)
Ta: 0.000 0.500 0.000
Ta: 0.500 0.000 0.000
Pb: 0.000 0.000 0.000
Cl: 0.500 0.500 0.000


Which of these has the highest E_form (uncorrected)? Ta2PbCl


E_form (uncorrected) of number 2 (Ta2PbCl)? 686.9 meV/atom